# 1
## GaOsRhS2 (PBE)

Data for a relaxed structure of GaOsRhS2.

Its uncorrected formation energy is 1.24 eV/atom.

The space group is P4/mmm (No. 123) and the conventional cell measures 4.502, 4.502 and 4.665 Å, with angles of 90.00, 90.00 and 90.00 degrees. The inequivalent atoms are Ga at (0.000, 0.000, 0.000), Os at (0.500, 0.500, 0.000), Rh at (0.000, 0.000, 0.500) and S at (0.000, 0.500, 0.500).

=====

# 2
## NaPmDy2 (PBE)

Data for a relaxed structure of NaPmDy2.

The calculation puts the polymorph energy (0 for the lowest one) at 33 meV per atom. For the formation energy, the calculation gives 178 meV per atom.

The space group is R-3m (No. 166, hexagonal axes) and the conventional cell measures 3.5242, 3.5242 and 38.2727 Å, with angles of 90.00, 90.00 and 120.00 degrees. The inequivalent atoms are Na at (0.0000, 0.0000, 0.0000), Pm at (0.0000, 0.0000, 0.5000) and Dy at (0.0000, 0.0000, 0.0915).

=====

# 3
## SmTmZr2 (PBE)

Data for a relaxed structure of SmTmZr2.

The calculation puts the polymorph energy (0 for the lowest one) at 89 meV per atom. For the formation energy, the calculation gives 220 meV per atom.

The space group is P4/mmm (No. 123) and the conventional cell measures 3.931, 3.931 and 6.926 Å, with angles of 90.00, 90.00 and 90.00 degrees. The inequivalent atoms are Sm at (0.000, 0.000, 0.000), Tm at (0.000, 0.000, 0.500) and Zr at (0.500, 0.500, 0.275).

=====

# 4
## Rb2ZnO (PBE)

Data for a relaxed structure of Rb2ZnO.

The calculation puts the polymorph energy (0 for the lowest one) at 125 meV per atom. Its uncorrected formation energy is -0.24 eV/atom.

The space group is Fm-3m (No. 225) and the conventional cell measures 7.591, 7.591 and 7.591 Å, with angles of 90.00, 90.00 and 90.00 degrees. The inequivalent atoms are Rb at (0.250, 0.250, 0.250), Zn at (0.000, 0.000, 0.000) and O at (0.000, 0.000, 0.500).

=====

# 5
## LiMnCoRh (PBE)

Data for a relaxed structure of LiMnCoRh.

For the formation energy, the calculation gives 39 meV per atom.

The space group is F-43m (No. 216) and the conventional cell measures 5.751, 5.751 and 5.751 Å, with angles of 90.00, 90.00 and 90.00 degrees. The inequivalent atoms are Li at (0.000, 0.000, 0.000), Mn at (0.000, 0.000, 0.500), Co at (0.250, 0.250, 0.750) and Rh at (0.250, 0.250, 0.250).

=====

# 6
## BaMnTl2Ag (PBE)

Data for a relaxed structure of BaMnTl2Ag.

For the formation energy, the calculation gives 522 meV per atom.

The space group is P4/mmm (No. 123) and the conventional cell measures 5.494, 5.494 and 6.047 Å, with angles of 90.00, 90.00 and 90.00 degrees. The inequivalent atoms are Ba at (0.000, 0.000, 0.000), Mn at (0.500, 0.500, 0.000), Tl at (0.000, 0.500, 0.500) and Ag at (0.000, 0.000, 0.500).

=====

# 7
## RbBa2BiO5 (PBE)

Data for a relaxed structure of RbBa2BiO5.

Its uncorrected formation energy is -1.85 eV/atom.

The space group is Immm (No. 71) and the conventional cell measures 4.381, 6.654 and 12.330 Å, with angles of 90.00, 90.00 and 90.00 degrees. The inequivalent atoms are Rb at (0.000, 0.000, 0.000), Ba at (0.000, 0.500, 0.223), Bi at (0.000, 0.000, 0.500), O at (0.000, 0.217, 0.370) and O at (0.000, 0.500, 0.000).

=====

# 8
## LiZn2InF6 (PBE)

Data for a relaxed structure of LiZn2InF6.

Its uncorrected formation energy is -2.27 eV/atom.

The space group is C2/c (No. 15) and the conventional cell measures 9.556, 11.790 and 6.523 Å, with angles of 90.00, 112.52 and 90.00 degrees. The inequivalent atoms are Li at (0.000, 0.193, 0.250), Zn at (0.138, 0.416, 0.656), In at (0.000, 0.108, 0.750), F at (0.081, 0.270, 0.522), F at (0.110, 0.453, 0.945) and F at (0.141, 0.085, 0.212).

=====

# 9
## ZrGeN2O (PBE)

Data for a relaxed structure of ZrGeN2O.

Its uncorrected formation energy is -0.52 eV/atom.

The space group is P4/mmm (No. 123) and the conventional cell measures 3.807, 3.807 and 3.655 Å, with angles of 90.00, 90.00 and 90.00 degrees. The inequivalent atoms are Zr at (0.000, 0.000, 0.000), Ge at (0.500, 0.500, 0.500), N at (0.000, 0.500, 0.500) and O at (0.500, 0.500, 0.000).

=====

# 10
## SrYS2 (PBE)

Data for a relaxed structure of SrYS2.

The calculation puts the polymorph energy (0 for the lowest one) at 84 meV per atom. Its uncorrected formation energy is -1.96 eV/atom.

The space group is R3m (No. 160, hexagonal axes) and the conventional cell measures 3.9848, 3.9848 and 21.2428 Å, with angles of 90.00, 90.00 and 120.00 degrees. The inequivalent atoms are Sr at (0.0000, 0.0000, 0.0000), Y at (0.0000, 0.0000, 0.1746), S at (0.0000, 0.0000, 0.5803) and S at (0.0000, 0.0000, 0.7628).

=====

# 11
## TiAsO (PBE)

Data for a relaxed structure of TiAsO.

Its uncorrected formation energy is -1.67 eV/atom.

The space group is P4/mmm (No. 123) and the conventional cell measures 2.855, 2.855 and 5.390 Å, with angles of 90.00, 90.00 and 90.00 degrees. The inequivalent atoms are Ti at (0.000, 0.000, 0.000), As at (0.000, 0.000, 0.500) and O at (0.500, 0.500, 0.000).

=====

# 12
## ScTi2Sn2 (PBE)

Data for a relaxed structure of ScTi2Sn2.

The calculation puts the polymorph energy (0 for the lowest one) at 0 meV per atom. For the formation energy, the calculation gives -323 meV per atom.

The space group is P4/mbm (No. 127) and the conventional cell measures 7.564, 7.564 and 3.629 Å, with angles of 90.00, 90.00 and 90.00 degrees. The inequivalent atoms are Sc at (0.000, 0.000, 0.000), Ti at (0.161, 0.339, 0.500) and Sn at (0.139, 0.639, 0.000).

=====

# 13
## NpInHg2O6 (PBE)

Data for a relaxed structure of NpInHg2O6.

Its uncorrected formation energy is -1.47 eV/atom.

The space group is P2_1/c (No. 14) and the conventional cell measures 5.779, 5.864 and 10.153 Å, with angles of 90.00, 124.11 and 90.00 degrees. The inequivalent atoms are Np at (0.000, 0.000, 0.000), In at (0.500, 0.000, 0.500), Hg at (0.248, 0.030, 0.748), O at (0.132, 0.201, 0.446), O at (0.247, 0.690, 0.448) and O at (0.348, 0.044, 0.248).

=====

# 14
## LuMgS2 (PBE)

Data for a relaxed structure of LuMgS2.

Its uncorrected formation energy is -1.56 eV/atom.

The space group is R-3m (No. 166, hexagonal axes) and the conventional cell measures 3.6925, 3.6925 and 19.0715 Å, with angles of 90.00, 90.00 and 120.00 degrees. The inequivalent atoms are Lu at (0.0000, 0.0000, 0.0000), Mg at (0.0000, 0.0000, 0.5000) and S at (0.0000, 0.0000, 0.2453).

=====

# 15
## HgOs2F4 (PBE)

Data for a relaxed structure of HgOs2F4.

Its uncorrected formation energy is 0.08 eV/atom.

The space group is I4/mmm (No. 139) and the conventional cell measures 4.907, 4.907 and 11.348 Å, with angles of 90.00, 90.00 and 90.00 degrees. The inequivalent atoms are Hg at (0.000, 0.000, 0.000), Os at (0.000, 0.000, 0.405), F at (0.000, 0.000, 0.225) and F at (0.000, 0.500, 0.000).

=====

# 16
## CsLi3Cu4Br12 (PBE)

Data for a relaxed structure of CsLi3Cu4Br12.

Its uncorrected formation energy is -0.72 eV/atom.

The space group is R32 (No. 155, hexagonal axes) and the conventional cell measures 14.1659, 14.1659 and 11.0765 Å, with angles of 90.00, 90.00 and 120.00 degrees. The inequivalent atoms are Cs at (0.0000, 0.0000, 0.0000), Li at (0.0000, 0.5651, 0.0000), Cu at (0.0000, 0.0000, 0.5000), Cu at (0.0000, 0.4245, 0.5000), Br at (0.0000, 0.5876, 0.5000), Br at (0.0000, 0.8372, 0.5000) and Br at (0.0761, 0.2499, 0.1675).

=====

# 17
## LiPr4Se5 (PBE)

Data for a relaxed structure of LiPr4Se5.

The calculation puts the polymorph energy (0 for the lowest one) at 17 meV per atom. Its uncorrected formation energy is -1.77 eV/atom.

The space group is R-3m (No. 166, hexagonal axes) and the conventional cell measures 4.2400, 4.2400 and 51.2823 Å, with angles of 90.00, 90.00 and 120.00 degrees. The inequivalent atoms are Li at (0.0000, 0.0000, 0.0000), Pr at (0.0000, 0.0000, 0.2012), Pr at (0.0000, 0.0000, 0.3966), Se at (0.0000, 0.0000, 0.0978), Se at (0.0000, 0.0000, 0.3032) and Se at (0.0000, 0.0000, 0.5000).

=====

# 18
## Al2ZnHg (PBE)

Data for a relaxed structure of Al2ZnHg.

The calculation puts the polymorph energy (0 for the lowest one) at 141 meV per atom. For the formation energy, the calculation gives 239 meV per atom.

The space group is I-42d (No. 122) and the conventional cell measures 7.560, 7.560 and 5.667 Å, with angles of 90.00, 90.00 and 90.00 degrees. The inequivalent atoms are Al at (0.233, 0.250, 0.125), Zn at (0.000, 0.000, 0.000) and Hg at (0.000, 0.000, 0.500).

=====

# 19
## CaTmSi2Pd5 (PBE)

Data for a relaxed structure of CaTmSi2Pd5.

Its uncorrected formation energy is -0.82 eV/atom.

The space group is P4/mmm (No. 123) and the conventional cell measures 4.183, 4.183 and 8.902 Å, with angles of 90.00, 90.00 and 90.00 degrees. The inequivalent atoms are Ca at (0.000, 0.000, 0.000), Tm at (0.000, 0.000, 0.500), Si at (0.500, 0.500, 0.369), Pd at (0.000, 0.500, 0.238) and Pd at (0.500, 0.500, 0.000).

=====

# 20
## SrTaSnO6 (PBE)

Data for a relaxed structure of SrTaSnO6.

Its uncorrected formation energy is -2.24 eV/atom.

The space group is P-31c (No. 163) and the conventional cell measures 5.4822, 5.4822 and 10.6257 Å, with angles of 90.00, 90.00 and 120.00 degrees. The inequivalent atoms are Sr at (0.0000, 0.0000, 0.0000), Ta at (0.3333, 0.6667, 0.2500), Sn at (0.3333, 0.6667, 0.7500) and O at (0.0113, 0.3819, 0.1452).

=====

# 21
## Na3ZrF (PBE)

Data for a relaxed structure of Na3ZrF.

The calculation puts the polymorph energy (0 for the lowest one) at 941 meV per atom. Its uncorrected formation energy is 0.72 eV/atom.

The space group is Pm-3m (No. 221) and the conventional cell measures 6.339, 6.339 and 6.339 Å, with angles of 90.00, 90.00 and 90.00 degrees. The inequivalent atoms are Na at (0.000, 0.000, 0.500), Zr at (0.000, 0.000, 0.000) and F at (0.500, 0.500, 0.500).

=====

# 22
## CrIrBr2 (PBE)

Data for a relaxed structure of CrIrBr2.

The calculation puts the polymorph energy (0 for the lowest one) at 643 meV per atom. Its uncorrected formation energy is 0.66 eV/atom.

The space group is I-42d (No. 122) and the conventional cell measures 4.739, 4.739 and 15.339 Å, with angles of 90.00, 90.00 and 90.00 degrees. The inequivalent atoms are Cr at (0.000, 0.000, 0.000), Ir at (0.000, 0.000, 0.500) and Br at (0.246, 0.250, 0.625).

=====

# 23
## Ac6IrPt3 (PBE)

Data for a relaxed structure of Ac6IrPt3.

For the formation energy, the calculation gives -881 meV per atom.

The space group is P2_1/c (No. 14) and the conventional cell measures 7.372, 8.062 and 13.464 Å, with angles of 90.00, 122.73 and 90.00 degrees. The inequivalent atoms are Ac at (0.086, 0.059, 0.246), Ac at (0.255, 0.686, 0.082), Ac at (0.398, 0.180, 0.079), Ir at (0.000, 0.000, 0.000), Pt at (0.305, 0.108, 0.753) and Pt at (0.500, 0.000, 0.500).

=====

Sequential uncorrected energy output: -0.174, -0.134, -0.233, -0.084, -0.233, -0.118, -0.205, -0.151, -0.275, -0.223, -0.276, -0.233, -0.223, -0.189, -0.156, -0.106, -0.206, -0.074, -0.207, -0.275, -0.079, -0.176, -0.222 hartree per atom